(1)
This record from Alexandria via LeMat-Bulk describes NaTlAsSe2 after structural relaxation. The functional is PBE.

Its total magnetization is 1.702 μB/cell. As for the excess energy over the best structure of this formula in the dataset: 0.000 eV/atom. Its energy relative to the elements, uncorrected is 1.612 eV/f.u.

```
NaTlAsSe2
1.0
-2.8652 0.8757 4.6762
-3.9354 -3.5036 -1.7552
2.5878 -4.0842 2.3504
Na Tl As Se
1 1 1 2
Cartesian
-2.1064 -3.3561 2.6357 Na
0.0000 0.0000 0.0000 Tl
1.2939 -2.0421 1.1752 As
-1.9677 -1.7518 -0.8776 Se
-1.4326 0.4378 2.3381 Se
```

***

(2)
This record from Alexandria via LeMat-Bulk describes NaTlAs2Se after structural relaxation. The functional is PBE.

Its total magnetization is 1.767 μB/cell. As for the excess energy over the best structure of this formula in the dataset: 0.000 eV/atom. Its energy relative to the elements, uncorrected is 2.721 eV/f.u.

```
NaTlAs2Se
1.0
5.4023 0.0000 0.0000
0.0000 5.4023 0.0000
0.0000 0.0000 5.6358
Na Tl As Se
1 1 2 1
Cartesian
2.7011 2.7011 2.8179 Na
0.0000 0.0000 0.0000 Tl
0.0000 2.7011 0.0000 As
2.7011 0.0000 0.0000 As
0.0000 0.0000 2.8179 Se
```